Entry 1:
Below is a geometry-optimized CaTlPt4 structure, with properties calculated at the GGA-PBEsol level.

Values from the calculation:
E_form ... -0.572 eV/atom
Volume ... 18.08 Å³ per atom
Size of the total moment ... 0.0000 μB per atom

```
CaTlPt4
1.0
0.0000 3.7854 3.7854
3.7854 0.0000 3.7854
3.7854 3.7854 0.0000
Ca Tl Pt
1 1 4
direct
0.0000 0.0000 0.0000 Ca
0.2500 0.2500 0.2500 Tl
0.1259 0.6247 0.6247 Pt
0.6247 0.1259 0.6247 Pt
0.6247 0.6247 0.1259 Pt
0.6247 0.6247 0.6247 Pt
```

=====

Entry 2:
Below is a geometry-optimized MgZnCd2 structure, with properties calculated at the GGA-PBEsol level.

Values from the calculation:
E_form ... -0.029 eV/atom
Volume ... 19.05 Å³ per atom
Size of the total moment ... 0.0000 μB per atom

```
MgZnCd2
1.0
4.3033 0.0000 0.0000
0.0000 4.3033 0.0000
0.0000 0.0000 4.1145
Mg Zn Cd
1 1 2
direct
0.0000 0.0000 0.0000 Mg
0.5000 0.5000 0.0000 Zn
0.0000 0.5000 0.5000 Cd
0.5000 0.0000 0.5000 Cd
```

=====

Entry 3:
Below is a geometry-optimized CaTi8S16 structure, with properties calculated at the GGA-PBEsol level.

Values from the calculation:
Uncorrected formation energy ... -1.442 eV per atom
Volume ... 19.48 Å³ per atom
Size of the total moment ... 0.0000 μB per atom

```
CaTi8S16
1.0
6.7120 0.0000 0.0000
-3.3560 5.8127 0.0000
0.0000 0.0000 12.4835
Ca Ti S
1 8 16
direct
0.0000 0.0000 0.0000 Ca
0.0000 0.0000 0.2792 Ti
0.0000 0.0000 0.7208 Ti
0.0042 0.5021 0.2761 Ti
0.4979 0.5021 0.2761 Ti
0.4979 0.9958 0.2761 Ti
0.5021 0.0042 0.7239 Ti
0.5021 0.4979 0.7239 Ti
0.9958 0.4979 0.7239 Ti
0.1669 0.3339 0.3900 S
0.1674 0.3347 0.8407 S
0.1669 0.8331 0.3900 S
0.1674 0.8326 0.8407 S
0.3333 0.6667 0.1591 S
0.3333 0.6667 0.6130 S
0.3339 0.1669 0.6100 S
0.3347 0.1674 0.1593 S
0.6653 0.8326 0.8407 S
0.6661 0.8331 0.3900 S
0.6667 0.3333 0.3870 S
0.6667 0.3333 0.8409 S
0.8326 0.1674 0.1593 S
0.8331 0.1669 0.6100 S
0.8326 0.6653 0.1593 S
0.8331 0.6661 0.6100 S
```

=====

Entry 4:
Below is a geometry-optimized Ca2CrW structure, with properties calculated at the GGA-PBEsol level.

Values from the calculation:
E_form ... 0.753 eV/atom
Volume ... 24.45 Å³ per atom
Size of the total moment ... 0.3065 μB per atom

```
Ca2CrW
1.0
7.9782 0.0000 0.0000
0.0000 3.1242 0.0000
-0.5828 0.0000 7.8488
Ca Cr W
4 2 2
direct
0.0000 0.0000 0.0000 Ca
0.2201 0.0000 0.6019 Ca
0.5000 0.5000 0.0000 Ca
0.7201 0.5000 0.6019 Ca
0.4755 0.0000 0.3495 Cr
0.9755 0.5000 0.3495 Cr
0.2521 0.5000 0.2563 W
0.7521 0.0000 0.2563 W
```

=====

Entry 5:
Below is a geometry-optimized LiAcRh2 structure, with properties calculated at the GGA-PBEsol level.

Values from the calculation:
E_form ... -0.299 eV/atom
Volume ... 17.93 Å³ per atom
Size of the total moment ... 0.0000 μB per atom

```
LiAcRh2
1.0
6.5949 0.0000 0.0000
0.0000 6.5949 0.0000
0.0000 0.0000 6.5949
Li Ac Rh
4 4 8
direct
0.0000 0.0000 0.0000 Li
0.0000 0.5000 0.5000 Li
0.5000 0.0000 0.5000 Li
0.5000 0.5000 0.0000 Li
0.0000 0.0000 0.5000 Ac
0.0000 0.5000 0.0000 Ac
0.5000 0.0000 0.0000 Ac
0.5000 0.5000 0.5000 Ac
0.2500 0.2500 0.2500 Rh
0.2500 0.2500 0.7500 Rh
0.2500 0.7500 0.2500 Rh
0.2500 0.7500 0.7500 Rh
0.7500 0.2500 0.2500 Rh
0.7500 0.2500 0.7500 Rh
0.7500 0.7500 0.2500 Rh
0.7500 0.7500 0.7500 Rh
```

=====

Entry 6:
Below is a geometry-optimized YTl2Pb structure, with properties calculated at the GGA-PBEsol level.

Values from the calculation:
E_form ... -0.332 eV/atom
Volume ... 26.06 Å³ per atom
Size of the total moment ... 0.0001 μB per atom

```
YTl2Pb
1.0
4.6119 0.0000 0.0000
0.0000 4.6119 0.0000
0.0000 0.0000 4.9007
Y Tl Pb
1 2 1
direct
0.0000 0.0000 0.0000 Y
0.0000 0.5000 0.5000 Tl
0.5000 0.0000 0.5000 Tl
0.5000 0.5000 0.0000 Pb
```

=====

Entry 7:
Below is a geometry-optimized RhSeCl2 structure, with properties calculated at the GGA-PBEsol level.

Values from the calculation:
Uncorrected formation energy ... 0.717 eV per atom
Volume ... 16.96 Å³ per atom
Size of the total moment ... 0.3045 μB per atom

```
RhSeCl2
1.0
5.9043 0.0000 0.0000
0.0000 7.7089 0.0000
0.0000 0.0000 2.9816
Rh Se Cl
2 2 4
direct
0.0000 0.0000 0.0000 Rh
0.5000 0.5000 0.0000 Rh
0.0000 0.5000 0.0000 Se
0.5000 0.0000 0.0000 Se
0.2500 0.2500 0.5000 Cl
0.2500 0.7500 0.5000 Cl
0.7500 0.2500 0.5000 Cl
0.7500 0.7500 0.5000 Cl
```

=====

Entry 8:
Below is a geometry-optimized FeNi2Se structure, with properties calculated at the GGA-PBEsol level.

Values from the calculation:
Uncorrected formation energy ... 0.120 eV per atom
Volume ... 11.90 Å³ per atom
Size of the total moment ... 0.8284 μB per atom

```
FeNi2Se
1.0
3.1209 0.0000 0.0000
0.0000 3.8633 0.0000
0.0000 0.0000 7.8924
Fe Ni Se
2 4 2
direct
0.0000 0.0000 0.0000 Fe
0.5000 0.5000 0.5000 Fe
0.0000 0.5000 0.2327 Ni
0.0000 0.5000 0.7673 Ni
0.5000 0.0000 0.2673 Ni
0.5000 0.0000 0.7327 Ni
0.0000 0.0000 0.5000 Se
0.5000 0.5000 0.0000 Se
```

=====

Entry 9:
Below is a geometry-optimized ErCu3S3 structure, with properties calculated at the GGA-PBEsol level.

Values from the calculation:
Uncorrected formation energy ... -0.901 eV per atom
Volume ... 16.53 Å³ per atom
Size of the total moment ... 0.0000 μB per atom

```
ErCu3S3
1.0
3.2781 1.8926 6.2155
-3.2781 1.8926 6.2155
0.0000 -3.7852 6.2155
Er Cu S
2 6 6
direct
0.1665 0.1665 0.1665 Er
0.8335 0.8335 0.8335 Er
0.0346 0.7194 0.3767 Cu
0.2806 0.6233 0.9654 Cu
0.3767 0.0346 0.7194 Cu
0.6233 0.9654 0.2806 Cu
0.7194 0.3767 0.0346 Cu
0.9654 0.2806 0.6233 Cu
0.0882 0.4179 0.7454 S
0.2546 0.9118 0.5821 S
0.4179 0.7454 0.0882 S
0.5821 0.2546 0.9118 S
0.7454 0.0882 0.4179 S
0.9118 0.5821 0.2546 S
```

=====

Entry 10:
Below is a geometry-optimized Y4MgCo structure, with properties calculated at the GGA-PBEsol level.

Values from the calculation:
E_form ... -0.145 eV/atom
Volume ... 25.04 Å³ per atom
Size of the total moment ... 0.0001 μB per atom

```
Y4MgCo
1.0
0.0000 6.6979 6.6979
6.6979 0.0000 6.6979
6.6979 6.6979 0.0000
Y Mg Co
16 4 4
direct
0.1865 0.1865 0.8135 Y
0.1865 0.8135 0.1865 Y
0.1865 0.8135 0.8135 Y
0.3439 0.3439 0.3439 Y
0.3439 0.3439 0.9682 Y
0.3439 0.9682 0.3439 Y
0.5622 0.5622 0.9378 Y
0.5622 0.9378 0.5622 Y
0.5622 0.9378 0.9378 Y
0.8135 0.1865 0.1865 Y
0.8135 0.1865 0.8135 Y
0.8135 0.8135 0.1865 Y
0.9378 0.5622 0.5622 Y
0.9378 0.5622 0.9378 Y
0.9378 0.9378 0.5622 Y
0.9682 0.3439 0.3439 Y
0.2620 0.5793 0.5793 Mg
0.5793 0.2620 0.5793 Mg
0.5793 0.5793 0.2620 Mg
0.5793 0.5793 0.5793 Mg
0.1407 0.1407 0.1407 Co
0.1407 0.1407 0.5779 Co
0.1407 0.5779 0.1407 Co
0.5779 0.1407 0.1407 Co
```

=====

Entry 11:
Below is a geometry-optimized Na2ZrCu2S4 structure, with properties calculated at the GGA-PBEsol level.

Values from the calculation:
Uncorrected formation energy ... -1.077 eV per atom
Volume ... 17.92 Å³ per atom
Size of the total moment ... 0.0000 μB per atom

```
Na2ZrCu2S4
1.0
6.7517 -1.8404 0.0000
6.7517 1.8404 0.0000
-2.5432 0.0000 6.4913
Na Zr Cu S
2 1 2 4
direct
0.1368 0.1368 0.0620 Na
0.8632 0.8632 0.9380 Na
0.0000 0.0000 0.5000 Zr
0.3213 0.3213 0.5117 Cu
0.6787 0.6787 0.4883 Cu
0.2036 0.2036 0.7014 S
0.4881 0.4881 0.7496 S
0.5119 0.5119 0.2504 S
0.7964 0.7964 0.2986 S
```

=====

Entry 12:
Below is a geometry-optimized ZrPd structure, with properties calculated at the GGA-PBEsol level.

Values from the calculation:
E_form ... -0.666 eV/atom
Volume ... 18.43 Å³ per atom
Size of the total moment ... 0.0000 μB per atom

```
ZrPd
1.0
3.3130 0.0000 0.0000
0.0000 10.2815 0.0000
0.0000 0.0000 4.3288
Zr Pd
4 4
direct
0.0000 0.1420 0.2500 Zr
0.0000 0.8580 0.7500 Zr
0.5000 0.3580 0.7500 Zr
0.5000 0.6420 0.2500 Zr
0.0000 0.4121 0.2500 Pd
0.0000 0.5879 0.7500 Pd
0.5000 0.0879 0.7500 Pd
0.5000 0.9121 0.2500 Pd
```